An optimized crystal structure of Cs2ReIrRh. Source: Alexandria, functional GGA-PBE.

abc: 6.173 4.719 6.173
angles: 90.00 90.00 90.00
Atoms (fractional coordinates):
Cs (0.000, 0.000, 0.500)
Cs (0.500, 0.000, 0.000)
Re (0.000, 0.500, 0.000)
Ir (0.500, 0.500, 0.500)
Rh (0.000, 0.000, 0.000)

**DFT formation energy**: 2.03 eV/atom
**Space group**: P4/mmm (123)
**VASP energy**: -0.14847 Ha/atom